1.
# Nb4Pd12Pt GGA-PBE relaxed
data_Nb4Pd12Pt
_space_group_name_H-M_alt 'I m -3 m'
_space_group_IT_number 229
_space_group_name_Hall '-I 4 2 3'
_cell_length_a 8.263
_cell_length_b 8.263
_cell_length_c 8.263
_cell_angle_alpha 90.00
_cell_angle_beta 90.00
_cell_angle_gamma 90.00
loop_
_atom_site_label
_atom_site_type_symbol
_atom_site_fract_x
_atom_site_fract_y
_atom_site_fract_z
_atom_site_occupancy
Nb1 Nb 0.250 0.250 0.250 1
Pd1 Pd 0.000 0.000 0.301 1
Pd2 Pd 0.000 0.250 0.500 1
Pt1 Pt 0.000 0.000 0.000 1
# **Crystal system**: cubic
# **Final energy**: -6.374 eV/atom
# **Total magnetization**: 0.0 μB/cell
# **Energy relative to the elements**: 17 meV per atom
# **Density**: 10.85 g/cm³

=====

2.
# DyYAl3 GGA-PBE relaxed
data_DyYAl3
_space_group_name_H-M_alt 'C m c m'
_space_group_IT_number 63
_space_group_name_Hall '-C 2c 2'
_cell_length_a 3.563
_cell_length_b 27.608
_cell_length_c 4.532
_cell_angle_alpha 90.00
_cell_angle_beta 90.00
_cell_angle_gamma 90.00
loop_
_atom_site_label
_atom_site_type_symbol
_atom_site_fract_x
_atom_site_fract_y
_atom_site_fract_z
_atom_site_occupancy
Dy1 Dy 0.000 0.212 0.250 1
Y1 Y 0.000 0.072 0.750 1
Al1 Al 0.000 0.329 0.250 1
Al2 Al 0.000 0.381 0.750 1
Al3 Al 0.000 0.476 0.750 1
# **Crystal system**: orthorhombic
# **Final energy**: -4.918 eV/atom
# **Total magnetization**: 0.9 μB/cell
# **Energy relative to the elements**: -459 meV per atom
# **Density**: 4.95 g/cm³

=====

3.
# Y4RuAu GGA-PBE relaxed
data_Y4RuAu
_space_group_name_H-M_alt 'C 1 2/c 1'
_space_group_IT_number 15
_cell_length_a 8.398
_cell_length_b 12.378
_cell_length_c 6.281
_cell_angle_alpha 90.00
_cell_angle_beta 104.73
_cell_angle_gamma 90.00
loop_
_space_group_symop_operation_xyz
'x,y,z'
'-x,-y,-z'
'-x,y,-z+1/2'
'x,-y,z+1/2'
'x+1/2,y+1/2,z'
'-x+1/2,-y+1/2,-z'
'-x+1/2,y+1/2,-z+1/2'
'x+1/2,-y+1/2,z+1/2'
loop_
_atom_site_label
_atom_site_type_symbol
_atom_site_fract_x
_atom_site_fract_y
_atom_site_fract_z
_atom_site_occupancy
Y1 Y 0.102 0.173 0.036 1
Y2 Y 0.202 0.422 0.423 1
Ru1 Ru 0.000 0.002 0.250 1
Au1 Au 0.000 0.372 0.750 1
# **Crystal system**: monoclinic
# **Final energy**: -6.888 eV/atom
# **Total magnetization**: 0.0 μB/cell
# **Energy above the lowest structure with this stoichiometry**: 0.000 eV/atom
# **Energy relative to the elements**: -486 meV per atom
# **Density**: 6.88 g/cm³

=====

- Look up the final energy of the first one.
  -6.374 eV/atom